[1]
Compound: LiPb2Se
Source: the Alexandria database
Functional: GGA-PBE
Structure: relaxed

Results
space-group type = R3m, No. 160
DOS at the Fermi energy = 0.583 states/eV per atom
formation energy without anion corrections = -0.35 eV per atom

a = 8.3559 Å, b = 8.3559 Å, c = 8.3559 Å
α = 27.03°, β = 27.03°, γ = 27.03°
Atoms (fractional coordinates):
Li  0.0000  0.0000  0.0000
Pb  0.5402  0.5402  0.5402
Pb  0.7632  0.7632  0.7632
Se  0.2900  0.2900  0.2900

[2]
Compound: PuGe2P
Source: the Alexandria database
Functional: GGA-PBE
Structure: relaxed

Results
space-group type = P4/mmm, No. 123
DOS at the Fermi energy = 1.870 states/eV per atom
DFT formation energy = -0.413 eV per atom

a = 4.0465 Å, b = 4.0465 Å, c = 4.4515 Å
α = 90.00°, β = 90.00°, γ = 90.00°
Atoms (fractional coordinates):
Pu  0.0000  0.0000  0.0000
Ge  0.0000  0.5000  0.5000
Ge  0.5000  0.0000  0.5000
P  0.5000  0.5000  0.0000

Total energy (computed, eV per atom): -3.56 -7.66